<a>
Al7Rh5 | PBE | relaxed

## Properties
The space group is Pm (6).

Unit cell a=2.860 b=12.743 c=4.862 alpha=89.85 beta=90.00 gamma=90.00
Fractional coordinates of all 12 atoms:
Al 0.500 0.988 0.497
Al 0.500 0.166 0.159
Al 0.000 0.173 0.667
Al 0.000 0.338 0.329
Al 0.000 0.988 0.995
Al 0.000 0.505 0.000
Al 0.500 0.511 0.513
Rh 0.500 0.335 0.830
Rh 0.000 0.659 0.674
Rh 0.000 0.840 0.333
Rh 0.500 0.840 0.834
Rh 0.500 0.657 0.170

<b>
Al7Rh5 | PBE | relaxed

## Properties
The space group is P2/m (10).

Unit cell a=6.770 b=4.656 c=5.547 alpha=90.00 beta=90.00 gamma=83.35
Fractional coordinates of all 12 atoms:
Rh 0.310 0.893 0.750
Rh 0.667 0.667 0.996
Rh 0.667 0.667 0.504
Rh 0.667 0.167 0.750
Rh 0.024 0.441 0.750
Al 0.356 0.867 0.250
Al 0.343 0.379 0.514
Al 0.990 0.954 0.514
Al 0.990 0.954 0.986
Al 0.667 0.167 0.250
Al 0.977 0.467 0.250
Al 0.343 0.379 0.986

Most stable pick: <b>. Distance to second place: 16.6 kJ/mol of atoms.

<a>
Al5Rh3 | PBE | relaxed

## Properties
The space group is P1 (1).

Unit cell a=7.305 b=7.094 c=7.087 alpha=92.17 beta=102.54 gamma=135.84
Fractional coordinates of all 16 atoms:
Al 0.703 0.193 0.493
Al 0.522 0.791 0.154
Al 0.599 0.325 0.806
Al 0.240 0.923 0.142
Al 0.203 0.710 0.510
Al 0.295 0.434 0.712
Al 0.796 0.083 0.862
Al 0.737 0.595 0.318
Al 0.101 0.295 0.275
Al 0.021 0.867 0.731
Rh 0.099 0.580 0.843
Rh 0.296 0.298 0.027
Rh 0.241 0.096 0.463
Rh 0.600 0.758 0.519
Rh 0.797 0.769 0.999
Rh 0.743 0.281 0.145

<b>
Al5Rh3 | PBE | relaxed

## Properties
The space group is R-3m (166).

Unit cell a=5.297 b=5.297 c=5.297 alpha=64.45 beta=64.45 gamma=64.45
Fractional coordinates of all 8 atoms:
Al 0.000 0.000 0.500
Al 0.000 0.000 0.000
Al 0.000 0.500 0.000
Al 0.500 0.500 0.500
Al 0.500 0.000 0.000
Rh 0.000 0.500 0.500
Rh 0.500 0.000 0.500
Rh 0.500 0.500 0.000

<c>
Al5Rh3 | PBE | relaxed

## Properties
The space group is Cmmm (65).

Unit cell a=5.291 b=5.291 c=4.058 alpha=90.00 beta=90.00 gamma=89.54
Fractional coordinates of all 8 atoms:
Al 0.000 0.000 0.000
Al 0.293 0.293 0.500
Al 0.707 0.707 0.500
Al 0.000 0.500 0.000
Al 0.500 0.000 0.000
Rh 0.800 0.200 0.500
Rh 0.200 0.800 0.500
Rh 0.500 0.500 0.000

<d>
Al5Rh3 | PBE | relaxed

## Properties
The space group is P6_3/mcm (193).

Unit cell a=7.313 b=7.313 c=5.130 alpha=90.00 beta=90.00 gamma=120.00
Fractional coordinates of all 16 atoms:
Rh 0.609 0.609 0.750
Rh 0.391 0.000 0.750
Rh 0.609 0.000 0.250
Rh 0.000 0.391 0.750
Rh 0.000 0.609 0.250
Rh 0.391 0.391 0.250
Al 0.333 0.667 0.500
Al 0.246 0.000 0.250
Al 0.667 0.333 0.000
Al 0.246 0.246 0.750
Al 0.000 0.754 0.750
Al 0.000 0.246 0.250
Al 0.754 0.000 0.750
Al 0.667 0.333 0.500
Al 0.754 0.754 0.250
Al 0.333 0.667 0.000

Most stable pick: <c>. Distance to second place: 0.7 kJ/mol of atoms.

<a>
Al2Rh3 | PBE | relaxed

## Properties
The space group is P2/m (10).

Unit cell a=3.838 b=5.658 c=6.499 alpha=83.95 beta=90.00 gamma=90.00
Fractional coordinates of all 10 atoms:
Al 0.000 0.903 0.198
Al 0.000 0.500 0.000
Al 0.500 0.000 0.500
Al 0.000 0.097 0.802
Rh 0.500 0.799 0.892
Rh 0.000 0.271 0.419
Rh 0.000 0.729 0.581
Rh 0.500 0.201 0.108
Rh 0.500 0.388 0.698
Rh 0.500 0.612 0.302

<b>
Al2Rh3 | PBE | relaxed

## Properties
The space group is P1 (1).

Unit cell a=4.785 b=5.600 c=5.882 alpha=75.83 beta=77.41 gamma=72.02
Fractional coordinates of all 10 atoms:
Al 0.000 0.515 0.972
Al 0.411 0.099 0.206
Al 0.782 0.197 0.449
Al 0.014 0.990 0.972
Rh 0.203 0.808 0.578
Rh 0.399 0.564 0.210
Rh 0.189 0.305 0.604
Rh 0.805 0.724 0.364
Rh 0.608 0.400 0.812
Rh 0.589 0.897 0.833

<c>
Al2Rh3 | PBE | relaxed

## Properties
The space group is R-3m (166).

Unit cell a=10.189 b=10.189 c=10.189 alpha=16.14 beta=16.14 gamma=16.14
Fractional coordinates of all 5 atoms:
Al 0.600 0.600 0.600
Al 0.400 0.400 0.400
Rh 0.000 0.000 0.000
Rh 0.205 0.205 0.205
Rh 0.795 0.795 0.795

Most stable pick: <a>. Distance to second place: 6.6 kJ/mol of atoms.

<a>
Al2Rh3 | PBE | relaxed

## Properties
The space group is P2_1/m (11).

Unit cell a=2.884 b=4.411 c=11.156 alpha=78.90 beta=90.00 gamma=90.00
Fractional coordinates of all 10 atoms:
Al 0.250 0.747 0.798
Al 0.750 0.669 0.396
Al 0.750 0.253 0.202
Al 0.250 0.331 0.604
Rh 0.750 0.824 0.604
Rh 0.250 0.746 0.205
Rh 0.750 0.254 0.795
Rh 0.250 0.242 0.015
Rh 0.250 0.176 0.396
Rh 0.750 0.758 0.985

<b>
Al2Rh3 | PBE | relaxed

## Properties
The space group is P1 (1).

Unit cell a=4.588 b=4.791 c=7.305 alpha=71.10 beta=71.84 gamma=73.60
Fractional coordinates of all 10 atoms:
Rh 0.540 0.988 0.779
Rh 0.551 0.541 0.495
Rh 0.758 0.490 0.102
Rh 0.140 0.525 0.314
Rh 0.343 0.025 0.200
Rh 0.973 0.454 0.714
Al 0.736 0.032 0.393
Al 0.138 0.983 0.600
Al 0.947 0.986 0.003
Al 0.373 0.476 0.899

Most stable pick: <a>. Distance to second place: 11.5 kJ/mol of atoms.